[1]
DFT (PBE-GGA) results for Tb3DySb3 after structural relaxation.

a = 8.9897 Å, b = 8.9897 Å, c = 18.4676 Å
α = 90.00°, β = 90.00°, γ = 120.00°
Space group R-3 (No. 148, hexagonal axes)
Asymmetric unit:
Tb: 0.0031 0.2634 0.0850
Dy: 0.0000 0.0000 0.3336
Sb: 0.0040 0.3886 0.9188

Computed properties:
energy relative to the lowest polymorph listed for this composition: 95 meV per atom
spin magnetization: 0.00 μB/f.u.
uncorrected formation energy: -0.913 eV/atom
total energy: -223.5 eV for the cell shown



[2]
DFT (PBE-GGA) results for K3RhS after structural relaxation.

a = 6.016 Å, b = 6.016 Å, c = 6.016 Å
α = 90.00°, β = 90.00°, γ = 90.00°
Space group Pm-3m (No. 221)
Asymmetric unit:
K: 0.000 0.000 0.500
Rh: 0.500 0.500 0.500
S: 0.000 0.000 0.000

Computed properties:
energy relative to the lowest polymorph listed for this composition: 0 meV per atom
spin magnetization: 2.00 μB/f.u.
uncorrected formation energy: 0.173 eV/atom
total energy: -13.9 eV for the cell shown



[3]
DFT (PBE-GGA) results for KRhCl2 after structural relaxation.

a = 7.391 Å, b = 7.301 Å, c = 3.531 Å
α = 90.00°, β = 103.62°, γ = 90.00°
Space group C2/m (No. 12)
Asymmetric unit:
K: 0.000 0.000 0.000
Rh: 0.000 0.500 0.000
Cl: 0.250 0.250 0.500

Computed properties:
energy relative to the lowest polymorph listed for this composition: 362 meV per atom
spin magnetization: 2.00 μB/f.u.
uncorrected formation energy: -0.419 eV/atom
total energy: -27.6 eV for the cell shown



[4]
DFT (PBE-GGA) results for ZrBe2SiI after structural relaxation.

a = 4.894 Å, b = 4.894 Å, c = 5.444 Å
α = 90.00°, β = 90.00°, γ = 90.00°
Space group P4/mmm (No. 123)
Asymmetric unit:
Zr: 0.000 0.000 0.000
Be: 0.000 0.500 0.000
Si: 0.500 0.500 0.500
I: 0.000 0.000 0.500

Computed properties:
spin magnetization: 0.00 μB/f.u.
uncorrected formation energy: 1.491 eV/atom
total energy: -15.5 eV for the cell shown



[5]
DFT (PBE-GGA) results for CePaGaSn after structural relaxation.

a = 7.427 Å, b = 7.427 Å, c = 7.427 Å
α = 90.00°, β = 90.00°, γ = 90.00°
Space group F-43m (No. 216)
Asymmetric unit:
Ce: 0.000 0.000 0.000
Pa: 0.000 0.000 0.500
Ga: 0.250 0.250 0.250
Sn: 0.250 0.250 0.750

Computed properties:
spin magnetization: 3.06 μB/f.u.
total energy: -93.2 eV for the cell shown



[6]
DFT (PBE-GGA) results for TbZnIr after structural relaxation.

a = 4.197 Å, b = 9.936 Å, c = 5.560 Å
α = 90.00°, β = 90.00°, γ = 90.00°
Space group Cmcm (No. 63)
Asymmetric unit:
Tb: 0.000 0.210 0.250
Zn: 0.000 0.500 0.000
Ir: 0.000 0.088 0.750

Computed properties:
spin magnetization: 0.00 μB/f.u.
total energy: -67.1 eV for the cell shown



[7]
DFT (PBE-GGA) results for Hf2AlRh after structural relaxation.

a = 3.402 Å, b = 3.402 Å, c = 6.270 Å
α = 90.00°, β = 90.00°, γ = 90.00°
Space group P4/mmm (No. 123)
Asymmetric unit:
Hf: 0.000 0.000 0.241
Al: 0.500 0.500 0.500
Rh: 0.500 0.500 0.000

Computed properties:
spin magnetization: 0.00 μB/f.u.
total energy: -33.2 eV for the cell shown



[8]
DFT (PBE-GGA) results for PaI6Br2 after structural relaxation.

a = 7.668 Å, b = 11.189 Å, c = 14.601 Å
α = 90.00°, β = 120.52°, γ = 90.00°
Space group P2_1/c (No. 14)
Asymmetric unit:
Pa: 0.000 0.000 0.000
I: 0.002 0.003 0.784
I: 0.309 0.683 0.581
I: 0.314 0.180 0.085
Br: 0.002 0.247 0.252

Computed properties:
spin magnetization: 0.00 μB/f.u.
uncorrected formation energy: -0.563 eV/atom
total energy: -54.4 eV for the cell shown



[9]
DFT (PBE-GGA) results for Ag2MoAsH after structural relaxation.

a = 5.139 Å, b = 5.139 Å, c = 3.203 Å
α = 90.00°, β = 90.00°, γ = 90.00°
Space group P4/mmm (No. 123)
Asymmetric unit:
Ag: 0.000 0.500 0.000
Mo: 0.000 0.000 0.500
As: 0.500 0.500 0.000
H: 0.500 0.500 0.500

Computed properties:
spin magnetization: 2.64 μB/f.u.
total energy: -20.0 eV for the cell shown



[10]
DFT (PBE-GGA) results for CeSmZrIn after structural relaxation.

a = 7.463 Å, b = 7.463 Å, c = 7.463 Å
α = 90.00°, β = 90.00°, γ = 90.00°
Space group F-43m (No. 216)
Asymmetric unit:
Ce: 0.000 0.000 0.000
Sm: 0.250 0.250 0.750
Zr: 0.250 0.250 0.250
In: 0.000 0.000 0.500

Computed properties:
spin magnetization: 0.38 μB/f.u.
total energy: -88.3 eV for the cell shown



[11]
DFT (PBE-GGA) results for Sm3Se2N after structural relaxation.

a = 3.8246 Å, b = 3.8246 Å, c = 21.3067 Å
α = 90.00°, β = 90.00°, γ = 120.00°
Space group P6_3/mmc (No. 194)
Asymmetric unit:
Sm: 0.0000 0.0000 0.0000
Sm: 0.3333 0.6667 0.1790
Se: 0.3333 0.6667 0.5896
N: 0.0000 0.0000 0.2500

Computed properties:
energy relative to the lowest polymorph listed for this composition: 169 meV per atom
spin magnetization: 0.00 μB/f.u.
uncorrected formation energy: -1.470 eV/atom
total energy: -76.5 eV for the cell shown



[12]
DFT (PBE-GGA) results for Y2MgGaO after structural relaxation.

a = 4.785 Å, b = 4.785 Å, c = 4.242 Å
α = 90.00°, β = 90.00°, γ = 90.00°
Space group P4/mmm (No. 123)
Asymmetric unit:
Y: 0.000 0.500 0.000
Mg: 0.000 0.000 0.500
Ga: 0.500 0.500 0.500
O: 0.000 0.000 0.000

Computed properties:
spin magnetization: 0.00 μB/f.u.
uncorrected formation energy: -1.326 eV/atom
total energy: -29.1 eV for the cell shown



[13]
DFT (PBE-GGA) results for FeNi5Pt2 after structural relaxation.

a = 5.195 Å, b = 10.412 Å, c = 3.655 Å
α = 90.00°, β = 90.00°, γ = 90.00°
Space group Pbam (No. 55)
Asymmetric unit:
Fe: 0.000 0.000 0.000
Ni: 0.000 0.500 0.000
Ni: 0.004 0.247 0.000
Ni: 0.248 0.625 0.500
Pt: 0.250 0.374 0.500

Computed properties:
energy relative to the lowest polymorph listed for this composition: 0 meV per atom
spin magnetization: 7.44 μB/f.u.
total energy: -100.9 eV for the cell shown



[14]
DFT (PBE-GGA) results for RbSbAs2Pb after structural relaxation.

a = 16.447 Å, b = 5.149 Å, c = 9.539 Å
α = 90.00°, β = 101.01°, γ = 90.00°
Space group C2/m (No. 12)
Asymmetric unit:
Rb: 0.136 0.000 0.181
Sb: 0.043 0.500 0.700
As: 0.082 0.000 0.809
As: 0.119 0.500 0.463
Pb: 0.184 0.000 0.605

Computed properties:
energy relative to the lowest polymorph listed for this composition: 0 meV per atom
spin magnetization: 0.00 μB/f.u.
uncorrected formation energy: -0.093 eV/atom
total energy: -74.2 eV for the cell shown



[15]
DFT (PBE-GGA) results for CaDyCuPd after structural relaxation.

a = 7.017 Å, b = 7.017 Å, c = 7.017 Å
α = 90.00°, β = 90.00°, γ = 90.00°
Space group F-43m (No. 216)
Asymmetric unit:
Ca: 0.000 0.000 0.000
Dy: 0.000 0.000 0.500
Cu: 0.250 0.250 0.250
Pd: 0.250 0.250 0.750

Computed properties:
energy relative to the lowest polymorph listed for this composition: 44 meV per atom
spin magnetization: 0.00 μB/f.u.
total energy: -70.9 eV for the cell shown



[16]
DFT (PBE-GGA) results for AgBi3B after structural relaxation.

a = 5.070 Å, b = 5.070 Å, c = 5.070 Å
α = 90.00°, β = 90.00°, γ = 90.00°
Space group Pm-3m (No. 221)
Asymmetric unit:
Ag: 0.000 0.000 0.000
Bi: 0.000 0.500 0.500
B: 0.500 0.500 0.500

Computed properties:
energy relative to the lowest polymorph listed for this composition: 0 meV per atom
spin magnetization: 0.00 μB/f.u.
total energy: -17.2 eV for the cell shown



[17]
DFT (PBE-GGA) results for Ga4NiRh5 after structural relaxation.

a = 3.034 Å, b = 3.034 Å, c = 14.996 Å
α = 90.00°, β = 90.00°, γ = 90.00°
Space group P4/mmm (No. 123)
Asymmetric unit:
Ga: 0.000 0.000 0.102
Ga: 0.000 0.000 0.308
Ni: 0.000 0.000 0.500
Rh: 0.500 0.500 0.000
Rh: 0.500 0.500 0.201
Rh: 0.500 0.500 0.402

Computed properties:
spin magnetization: 1.41 μB/f.u.
total energy: -60.1 eV for the cell shown



[18]
DFT (PBE-GGA) results for YTaPb2 after structural relaxation.

a = 4.267 Å, b = 5.226 Å, c = 8.876 Å
α = 90.00°, β = 90.00°, γ = 90.00°
Space group Cmmm (No. 65)
Asymmetric unit:
Y: 0.000 0.000 0.000
Ta: 0.000 0.000 0.500
Pb: 0.000 0.500 0.269

Computed properties:
spin magnetization: 0.00 μB/f.u.
total energy: -49.9 eV for the cell shown



[19]
DFT (PBE-GGA) results for AcLaAlCd after structural relaxation.

a = 3.887 Å, b = 3.887 Å, c = 8.105 Å
α = 90.00°, β = 90.00°, γ = 90.00°
Space group P4mm (No. 99)
Asymmetric unit:
Ac: 0.000 0.000 0.000
La: 0.000 0.000 0.529
Al: 0.500 0.500 0.752
Cd: 0.500 0.500 0.279

Computed properties:
energy relative to the lowest polymorph listed for this composition: 0 meV per atom
spin magnetization: 0.00 μB/f.u.
total energy: -14.9 eV for the cell shown



[20]
DFT (PBE-GGA) results for Pm2Nd4H2Pb3 after structural relaxation.

a = 4.827 Å, b = 4.827 Å, c = 26.227 Å
α = 90.00°, β = 90.00°, γ = 90.00°
Space group I4/mmm (No. 139)
Asymmetric unit:
Pm: 0.000 0.000 0.199
Nd: 0.000 0.500 0.084
H: 0.000 0.000 0.105
Pb: 0.000 0.000 0.323
Pb: 0.000 0.000 0.500

Computed properties:
spin magnetization: 0.00 μB/f.u.
total energy: -102.5 eV for the cell shown